A plane-wave DFT calculation with PBE-GGA was carried out for a geometry-optimized BaScSe structure.

Electronic total energy   -13.361 eV/cell
Space group   F-43m
ΔE_f (raw)   -0.5407 eV per atom
Distance to the lowest polymorph of the same formula   361 meV/atom
Volume   32.066 A^3/atom

a b c (Å): 5.1431 5.1431 5.1431
angles (deg): 60.00 60.00 60.00
Sites, in units of the cell vectors:
Ba: 0.0000 0.0000 0.0000
Sc: 0.5000 0.5000 0.5000
Se: 0.7500 0.7500 0.7500



A plane-wave DFT calculation with PBE-GGA was carried out for a geometry-optimized Pm5Y8Pu structure.

Electronic total energy   -85.820 eV/cell
Space group   I-4
Volume   33.549 A^3/atom

a b c (Å): 8.4995 8.4995 8.4995
angles (deg): 106.92 114.70 106.92
Sites, in units of the cell vectors:
Pm: 0.9440 0.2355 0.0404
Pm: 0.9596 0.9037 0.1952
Pm: 0.8048 0.7645 0.7085
Pm: 0.5000 0.0000 0.5000
Pm: 0.2915 0.0963 0.0560
Y: 0.0609 0.5985 0.9672
Y: 0.0328 0.0936 0.6313
Y: 0.7760 0.3098 0.4107
Y: 0.5893 0.3654 0.8991
Y: 0.5337 0.6346 0.2240
Y: 0.5377 0.9064 0.9391
Y: 0.3687 0.4015 0.4623
Y: 0.1009 0.6902 0.4663
Pu: 0.2500 0.5000 0.7500



A plane-wave DFT calculation with PBE-GGA was carried out for a geometry-optimized NiAsC structure.

Electronic total energy   -35.566 eV/cell
Space group   I4mm
Distance to the lowest polymorph of the same formula   42 meV/atom
Volume   12.481 A^3/atom

a b c (Å): 2.6635 2.6635 10.5557
angles (deg): 90.00 90.00 90.00
Sites, in units of the cell vectors:
Ni: 0.0000 0.0000 0.0677
Ni: 0.5000 0.5000 0.5677
As: 0.0000 0.0000 0.8148
As: 0.5000 0.5000 0.3148
C: 0.0000 0.0000 0.6226
C: 0.5000 0.5000 0.1226



A plane-wave DFT calculation with PBE-GGA was carried out for a geometry-optimized AcRe2BrO8 structure.

Electronic total energy   -94.515 eV/cell
Space group   C2/m
ΔE_f (raw)   -2.0143 eV per atom
Volume   22.991 A^3/atom

a b c (Å): 7.1777 7.1777 6.1914
angles (deg): 91.14 91.14 59.90
Sites, in units of the cell vectors:
Ac: 0.0000 0.0000 0.0000
Re: 0.6693 0.6693 0.2231
Re: 0.3307 0.3307 0.7769
Br: 0.0000 0.0000 0.5000
O: 0.6002 0.1988 0.8681
O: 0.8008 0.8008 0.1239
O: 0.6752 0.6752 0.5023
O: 0.3248 0.3248 0.4977
O: 0.1992 0.1992 0.8761
O: 0.1988 0.6002 0.8681
O: 0.8012 0.3998 0.1319
O: 0.3998 0.8012 0.1319



A plane-wave DFT calculation with PBE-GGA was carried out for a geometry-optimized HoCo2H7 structure.

Electronic total energy   -44.453 eV/cell
Space group   Cmmm
Volume   6.911 A^3/atom

a b c (Å): 3.4369 4.7422 4.7422
angles (deg): 116.60 90.00 90.00
Sites, in units of the cell vectors:
Ho: 0.0000 0.0000 0.0000
Co: 0.5000 0.6955 0.3045
Co: 0.5000 0.3045 0.6955
H: 0.0000 0.6933 0.3067
H: 0.0000 0.3067 0.6933
H: 0.5000 0.0482 0.3279
H: 0.5000 0.9518 0.6721
H: 0.5000 0.3279 0.0482
H: 0.5000 0.6721 0.9518
H: 0.5000 0.5000 0.5000



A plane-wave DFT calculation with PBE-GGA was carried out for a geometry-optimized Ta3GaH structure.

Electronic total energy   -168.096 eV/cell
Space group   P2_1/c
Distance to the lowest polymorph of the same formula   64 meV/atom
Volume   14.788 A^3/atom

a b c (Å): 9.4664 7.2679 5.6104
angles (deg): 90.00 90.00 129.99
Sites, in units of the cell vectors:
Ta: 0.7370 0.9953 0.9818
Ta: 0.2630 0.0047 0.0182
Ta: 0.7630 0.0047 0.4818
Ta: 0.2370 0.9953 0.5182
Ta: 0.3498 0.7244 0.8385
Ta: 0.6502 0.2756 0.1615
Ta: 0.1502 0.2756 0.3385
Ta: 0.8498 0.7244 0.6615
Ta: 0.0256 0.5365 0.2511
Ta: 0.9744 0.4635 0.7489
Ta: 0.4744 0.4635 0.7511
Ta: 0.5256 0.5365 0.2489
Ga: 0.3995 0.7920 0.3234
Ga: 0.6005 0.2080 0.6766
Ga: 0.1005 0.2080 0.8234
Ga: 0.8995 0.7920 0.1766
H: 0.5715 0.7951 0.7244
H: 0.4285 0.2049 0.2756
H: 0.9285 0.2049 0.2244
H: 0.0715 0.7951 0.7756



A plane-wave DFT calculation with PBE-GGA was carried out for a geometry-optimized NaTl structure.

Electronic total energy   -60.792 eV/cell
Space group   Fddd
Volume   29.722 A^3/atom

a b c (Å): 12.5589 20.4643 3.7006
angles (deg): 90.00 90.00 90.00
Sites, in units of the cell vectors:
Na: 0.0000 0.6063 0.0000
Na: 0.0000 0.3937 0.0000
Na: 0.2500 0.1437 0.2500
Na: 0.2500 0.3563 0.2500
Na: 0.0000 0.1063 0.5000
Na: 0.0000 0.8937 0.5000
Na: 0.2500 0.6437 0.7500
Na: 0.2500 0.8563 0.7500
Na: 0.5000 0.6063 0.5000
Na: 0.5000 0.3937 0.5000
Na: 0.7500 0.1437 0.7500
Na: 0.7500 0.3563 0.7500
Na: 0.5000 0.1063 0.0000
Na: 0.5000 0.8937 0.0000
Na: 0.7500 0.6437 0.2500
Na: 0.7500 0.8563 0.2500
Tl: 0.8585 0.0000 0.0000
Tl: 0.1415 0.0000 0.0000
Tl: 0.3915 0.7500 0.2500
Tl: 0.1085 0.7500 0.2500
Tl: 0.8585 0.5000 0.5000
Tl: 0.1415 0.5000 0.5000
Tl: 0.3915 0.2500 0.7500
Tl: 0.1085 0.2500 0.7500
Tl: 0.3585 0.0000 0.5000
Tl: 0.6415 0.0000 0.5000
Tl: 0.8915 0.7500 0.7500
Tl: 0.6085 0.7500 0.7500
Tl: 0.3585 0.5000 0.0000
Tl: 0.6415 0.5000 0.0000
Tl: 0.8915 0.2500 0.2500
Tl: 0.6085 0.2500 0.2500



A plane-wave DFT calculation with PBE-GGA was carried out for a geometry-optimized CoAuBr2 structure.

Electronic total energy   -25.539 eV/cell
Space group   I-42d
ΔE_f (raw)   0.2399 eV per atom
Distance to the lowest polymorph of the same formula   200 meV/atom
Volume   26.279 A^3/atom

a b c (Å): 6.2343 6.2343 6.9778
angles (deg): 63.47 63.47 90.00
Sites, in units of the cell vectors:
Co: 0.5000 0.5000 0.0000
Co: 0.2500 0.7500 0.5000
Au: 0.0000 0.0000 0.0000
Au: 0.7500 0.2500 0.5000
Br: 0.5769 0.1250 0.2500
Br: 0.1731 0.6250 0.2500
Br: 0.3750 0.4231 0.7500
Br: 0.8750 0.8269 0.7500